Entry 1:
The following is a DFT calculation (PBE-GGA) of a relaxed VSiH crystal.

Calculated values
E above lowest polymorph, meV/atom: 0
Spin magnetization, μB/atom: 0.000
Volume, Å³/atom: 9.8

Unit cell a=3.4529 b=3.1393 c=3.1393 alpha=120.00 beta=90.00 gamma=90.00
Element x y z (fractional)
H 0.0994 0.0000 0.0000
Si 0.6966 0.3333 0.6667
V 0.2040 0.6667 0.3333

---

Entry 2:
The following is a DFT calculation (PBE-GGA) of a relaxed V3SiH2 crystal.

Calculated values
Calculated total energy, eV/f.u.: -40.38
Spin magnetization, μB/atom: 0.000
Volume, Å³/atom: 10.1

Unit cell a=3.0887 b=6.3539 c=6.5800 alpha=104.81 beta=103.57 gamma=90.00
Element x y z (fractional)
V 0.2241 0.3104 0.4481
V 0.1067 0.6756 0.2134
V 0.4495 0.6865 0.8989
V 0.7759 0.6896 0.5519
V 0.5505 0.3135 0.1011
V 0.8933 0.3244 0.7866
Si 0.3405 0.0080 0.6809
Si 0.6595 0.9920 0.3191
H 0.3083 0.5736 0.6165
H 0.6917 0.4264 0.3835
H 0.0047 0.8246 0.0094
H 0.9953 0.1754 0.9906